1.
Compound: LiPdS4
Source: Alexandria via LeMat-Bulk
Functional: PBE
Structure: optimized geometry

Unit cell a=5.8501 b=6.1604 c=7.3096 alpha=67.25 beta=66.49 gamma=90.00
With the nearest neighbours (Å) after each atom.
Positions (direct):
Li 0.2240 0.2498 0.0005  6 S 2.54-2.65
Li 0.7760 0.7502 0.9995  6 S 2.54-2.65
Pd 0.0000 0.5000 0.5000  6 S 2.44-2.59
Pd 0.5000 0.0000 0.5000  6 S 2.44-2.59
S 0.1166 0.8013 0.1264  1 S 2.05
S 0.1474 0.1419 0.4093  1 S 2.04
S 0.2444 0.6983 0.8735  1 S 2.05
S 0.4432 0.6418 0.4091  1 S 2.04
S 0.5568 0.3582 0.5909  1 S 2.04
S 0.7556 0.3017 0.1265  1 S 2.05
S 0.8526 0.8581 0.5907  1 S 2.04
S 0.8834 0.1987 0.8736  1 S 2.05

* formation energy without anion corrections: -0.37 eV/atom
* calculated volume: 219.0 Å³ per cell
* DOS(E_F): 4.67 states/eV per cell

---

2.
Compound: BaMnRh2
Source: Alexandria via LeMat-Bulk
Functional: PBE
Structure: optimized geometry

Unit cell a=3.2238 b=3.2238 c=7.5216 alpha=90.00 beta=90.00 gamma=90.00
With the nearest neighbours (Å) after each atom.
Positions (direct):
Ba 0.0000 0.0000 0.0000  4 Ba 3.22, 8 Rh 3.30
Mn 0.0000 0.0000 0.5000  8 Rh 2.66
Rh 0.5000 0.5000 0.3166  4 Mn 2.66, 1 Rh 2.76
Rh 0.5000 0.5000 0.6834  4 Mn 2.66, 1 Rh 2.76

* E_form: 0.141 eV per atom
* calculated volume: 78.2 Å³ per cell
* DOS(E_F): 5.62 states/eV per cell

---

3.
Compound: MnTeSeN2
Source: Alexandria via LeMat-Bulk
Functional: PBE
Structure: optimized geometry

Unit cell a=3.7345 b=3.7345 c=5.7598 alpha=90.00 beta=90.00 gamma=90.00
With the nearest neighbours (Å) after each atom.
Positions (direct):
Mn 0.0000 0.0000 0.0000  4 N 1.87
Te 0.0000 0.0000 0.5000  4 Se 2.64, 2 Mn 2.88
Se 0.5000 0.5000 0.5000  4 Te 2.64
N 0.0000 0.5000 0.0000  2 Mn 1.87
N 0.5000 0.0000 0.0000  2 Mn 1.87

* formation energy without anion corrections: 0.76 eV/atom
* calculated volume: 80.3 Å³ per cell
* DOS(E_F): 5.01 states/eV per cell

---

In μB per cell, the total moment values for the records above are, in order, 0.00 4.08 0.00.